A plane-wave DFT calculation with PBE was carried out for CuReIrPb after structural relaxation.

The structure in POSCAR format:
```
CuReIrPb
1.0
0.0000 3.2022 3.2022
3.2022 0.0000 3.2022
3.2022 3.2022 0.0000
Pb Cu Re Ir
1 1 1 1
Direct
0.0000 0.0000 0.0000
0.7500 0.7500 0.7500
0.2500 0.2500 0.2500
0.5000 0.5000 0.5000
```

Output
Crystal system: cubic
E in eV per atom: -6.44
Energy above the lowest structure with this stoichiometry in meV per atom: 0